No. 1
Li5Cu2Pd4: relaxed, PBE.

Summary:
Symmetry: P2/m, No. 10
ΔH_f (0 K), meV per atom: -290

a b c (Å): 2.7230 6.7424 8.6710
angles (deg): 84.61 90.00 90.00
Closest atoms and distances in Å follow each position.
Positions (direct):
Li1 0.0000 0.5000 0.0000  4 Pd 2.61, 6 Li 2.72-2.75
Cu1 0.0000 0.0618 0.3652  1 Cu 2.41, 2 Li 2.49-2.51, 4 Pd 2.63-2.68
Pd1 0.5000 0.8084 0.8828  8 Li 2.61-2.84, 2 Cu 2.63, 2 Pd 2.72
Li2 0.0000 0.5652 0.6839  1 Cu 2.51, 4 Pd 2.66-2.68, 3 Li 2.72-2.74
Cu2 0.0000 0.9382 0.6348  1 Cu 2.41, 2 Li 2.49-2.51, 4 Pd 2.63-2.68
Pd2 0.5000 0.1916 0.1172  8 Li 2.61-2.84, 2 Cu 2.63, 2 Pd 2.72
Li3 0.0000 0.8422 0.1494  1 Cu 2.49, 4 Pd 2.71, 3 Li 2.72-2.75
Li4 0.0000 0.1578 0.8506  1 Cu 2.49, 4 Pd 2.71, 3 Li 2.72-2.75
Li5 0.0000 0.4348 0.3161  1 Cu 2.51, 4 Pd 2.66-2.68, 3 Li 2.72-2.74
Pd3 0.5000 0.2776 0.5651  6 Li 2.66-2.87, 4 Cu 2.68-2.73, 2 Pd 2.72
Pd4 0.5000 0.7224 0.4349  6 Li 2.66-2.87, 4 Cu 2.68-2.73, 2 Pd 2.72

=====

No. 2
TlBi2O6: relaxed, PBE.

Summary:
Excess energy over the best structure of this formula in the dataset, meV/atom: 0
Formation energy (no corrections), eV per atom: -0.830
Symmetry: P4_2/mnm, No. 136

a b c (Å): 5.1215 5.1215 10.4585
angles (deg): 90.00 90.00 90.00
Closest atoms and distances in Å follow each position.
Positions (direct):
Bi1 0.0000 0.0000 0.1674  6 O 2.20-2.21
O1 0.6962 0.6962 0.8274  2 Bi 2.20, 1 Tl 2.30
Bi2 0.0000 0.0000 0.8326  6 O 2.20-2.21
O2 0.3038 0.3038 0.8274  2 Bi 2.20, 1 Tl 2.30
O3 0.8038 0.1962 0.6726  2 Bi 2.20, 1 Tl 2.30
Bi3 0.5000 0.5000 0.3326  6 O 2.20-2.21
O4 0.6861 0.6861 0.5000  2 Bi 2.21, 1 Tl 2.27
O5 0.8038 0.1962 0.3274  2 Bi 2.20, 1 Tl 2.30
O6 0.3139 0.3139 0.5000  2 Bi 2.21, 1 Tl 2.27
O7 0.1962 0.8038 0.3274  2 Bi 2.20, 1 Tl 2.30
Bi4 0.5000 0.5000 0.6674  6 O 2.20-2.21
O8 0.3038 0.3038 0.1726  2 Bi 2.20, 1 Tl 2.30
O9 0.1962 0.8038 0.6726  2 Bi 2.20, 1 Tl 2.30
Tl1 0.5000 0.5000 0.0000  6 O 2.27-2.30
O10 0.1861 0.8139 0.0000  2 Bi 2.21, 1 Tl 2.27
O11 0.6962 0.6962 0.1726  2 Bi 2.20, 1 Tl 2.30
Tl2 0.0000 0.0000 0.5000  6 O 2.27-2.30
O12 0.8139 0.1861 0.0000  2 Bi 2.21, 1 Tl 2.27

=====

No. 3
Cs4Pr3MnTe8: relaxed, PBE.

Summary:
Formation energy (no corrections), eV per atom: -1.132
Symmetry: R-3m, No. 166

a b c (Å): 9.2379 10.3935 9.2398
angles (deg): 116.39 119.99 90.00
Closest atoms and distances in Å follow each position.
Positions (direct):
Pr1 0.0000 0.5000 0.5000  6 Te 3.21-3.23
Cs1 0.5000 0.0000 0.5000  6 Te 3.78-3.81
Pr2 0.5000 0.5000 0.0000  6 Te 3.21-3.22
Cs2 0.0000 0.0000 0.5000  6 Te 3.78-3.81
Mn1 0.0000 0.5000 0.0000  6 Te 2.97
Te1 0.7838 0.3149 0.5675  1 Mn 2.97, 2 Pr 3.22
Cs3 0.5000 0.0000 0.0000  6 Te 4.01
Te2 0.7530 0.6849 0.9689  1 Mn 2.97, 2 Pr 3.22-3.23
Te3 0.7841 0.3151 0.0311  1 Mn 2.97, 2 Pr 3.22-3.23
Te4 0.2159 0.6849 0.9689  1 Mn 2.97, 2 Pr 3.22-3.23
Pr3 0.5000 0.5000 0.5000  6 Te 3.21-3.23
Te5 0.2470 0.3151 0.0311  1 Mn 2.97, 2 Pr 3.22-3.23
Te6 0.7332 0.6998 0.4665  3 Pr 3.21
Te7 0.2162 0.6851 0.4325  1 Mn 2.97, 2 Pr 3.22
Cs4 0.0000 0.0000 0.0000  6 Te 3.78-3.81
Te8 0.2668 0.3002 0.5335  3 Pr 3.21

=====

No. 4
KNbCrRh2: relaxed, PBE.

Summary:
Symmetry: P4/mmm, No. 123
ΔH_f (0 K), meV per atom: 897

a b c (Å): 4.7045 4.5544 4.7045
angles (deg): 90.00 90.00 90.00
Closest atoms and distances in Å follow each position.
Positions (direct):
Nb1 0.0000 0.5000 0.0000  2 Cr 2.28
Cr1 0.0000 0.0000 0.0000  2 Nb 2.28, 4 Rh 2.35
Rh1 0.5000 0.0000 0.0000  2 Cr 2.35
Rh2 0.0000 0.0000 0.5000  2 Cr 2.35
K1 0.5000 0.5000 0.5000  8 Rh 3.27, 4 Nb 3.33

=====

No. 5
Ta: relaxed, PBE.

Summary:
Excess energy over the best structure of this formula in the dataset, meV/atom: 0
Symmetry: Im-3m, No. 229
ΔH_f (0 K), meV per atom: 0

a b c (Å): 2.8801 2.8801 2.8801
angles (deg): 109.47 109.47 109.47
Closest atoms and distances in Å follow each position.
Positions (direct):
Ta1 0.0000 0.0000 0.0000  8 Ta 2.88

=====

No. 6
Tl2In6Ga: relaxed, PBE.

Summary:
Excess energy over the best structure of this formula in the dataset, meV/atom: 0
Symmetry: C2/m, No. 12
ΔH_f (0 K), meV per atom: 41

a b c (Å): 3.2909 9.3405 9.3405
angles (deg): 60.01 89.95 89.95
Closest atoms and distances in Å follow each position.
Positions (direct):
In1 0.5023 0.3280 0.9999  5 In 3.06-3.29
In2 0.4977 0.6720 0.0001  5 In 3.06-3.29
In3 0.4977 0.0001 0.6720  5 In 3.06-3.29
Tl1 0.0000 0.6668 0.6668  2 Tl 3.29, 12 In 3.54-3.55
Ga1 0.0000 0.0000 0.0000  2 Ga 3.29, 12 In 3.47-3.48
Tl2 0.0000 0.3332 0.3332  2 Tl 3.29, 12 In 3.54-3.55
In4 0.5023 0.9999 0.3280  5 In 3.06-3.29
In5 0.5000 0.3282 0.6718  5 In 3.06-3.29
In6 0.5000 0.6718 0.3282  5 In 3.06-3.29

=====

No. 7
ZnIO2: relaxed, PBE.

Summary:
Excess energy over the best structure of this formula in the dataset, meV/atom: 296
Formation energy (no corrections), eV per atom: -0.370
Symmetry: P1, No. 1

a b c (Å): 3.5201 4.6361 5.4600
angles (deg): 72.02 85.81 68.56
Closest atoms and distances in Å follow each position.
Positions (direct):
I1 0.3268 0.2442 0.6143  1 O 1.93
Zn1 0.9274 0.0364 0.2040  3 O 1.91-1.97
O1 0.3602 0.1907 0.0773  2 Zn 1.91-1.96
O2 0.9004 0.6683 0.4971  1 I 1.93, 1 Zn 1.97

=====

No. 8
Na2Mn4Tl: relaxed, PBE.

Summary:
Symmetry: I4/mmm, No. 139
ΔH_f (0 K), meV per atom: 1195

a b c (Å): 5.1488 5.1488 8.5749
angles (deg): 72.53 72.53 90.00
Closest atoms and distances in Å follow each position.
Positions (direct):
Na1 0.3720 0.3720 0.2560  5 Mn 3.05-3.25
Mn1 0.5000 0.0000 0.0000  2 Tl 2.57
Tl1 0.0000 0.0000 0.0000  6 Mn 2.57-2.72
Mn2 0.1755 0.1755 0.6490  1 Tl 2.72, 1 Na 3.05
Na2 0.6280 0.6280 0.7440  5 Mn 3.05-3.25
Mn3 0.8245 0.8245 0.3510  1 Tl 2.72, 1 Na 3.05
Mn4 0.0000 0.5000 0.0000  2 Tl 2.57

=====

Asked for VASP energy across the records above, the calculation gives -3.793; -5.261; -4.386; -6.201; -11.853; -2.646; -3.556; -4.759 eV per atom in order.